a:
Below is an optimized crystal structure of Co2SnS, with properties calculated at the GGA-PBE level.

```
data_Co2SnS
_cell_length_a 4.405
_cell_length_b 4.405
_cell_length_c 7.583
_cell_angle_alpha 73.12
_cell_angle_beta 73.12
_cell_angle_gamma 90.00
_symmetry_space_group_name_H-M 'P 1'
_symmetry_Int_Tables_number 1
_symmetry_space_group_name_Hall 'P 1'
loop_
_atom_site_label
_atom_site_type_symbol
_atom_site_fract_x
_atom_site_fract_y
_atom_site_fract_z
_atom_site_occupancy
Co1 Co 0.506 0.125 0.250 1
S1 S 0.250 0.750 0.500 1
S2 S 0.500 0.500 0.000 1
Sn1 Sn 0.750 0.250 0.500 1
Sn2 Sn 0.000 0.000 0.000 1
Co2 Co 0.875 0.756 0.750 1
Co3 Co 0.244 0.625 0.250 1
Co4 Co 0.375 0.494 0.750 1
```

## Properties
Space-group type: No. 122
Calculated volume in A^3/atom: 16.77

---

b:
Below is an optimized crystal structure of Co2SnS, with properties calculated at the GGA-PBE level.

```
data_Co2SnS
_cell_length_a 4.334
_cell_length_b 4.334
_cell_length_c 4.334
_cell_angle_alpha 60.00
_cell_angle_beta 60.00
_cell_angle_gamma 60.00
_symmetry_space_group_name_H-M 'P 1'
_symmetry_Int_Tables_number 1
_symmetry_space_group_name_Hall 'P 1'
loop_
_atom_site_label
_atom_site_type_symbol
_atom_site_fract_x
_atom_site_fract_y
_atom_site_fract_z
_atom_site_occupancy
Co1 Co 0.250 0.250 0.250 1
Sn1 Sn 0.500 0.500 0.500 1
Co2 Co 0.750 0.750 0.750 1
S1 S 0.000 0.000 0.000 1
```

## Properties
Space-group type: No. 225
Calculated volume in A^3/atom: 14.40

---

Short version: b is the least stable of them.

---

a:
Below is an optimized crystal structure of Sr2CoSnS, with properties calculated at the GGA-PBE level.

```
data_Sr2CoSnS
_cell_length_a 5.856
_cell_length_b 4.164
_cell_length_c 5.856
_cell_angle_alpha 90.00
_cell_angle_beta 90.00
_cell_angle_gamma 90.00
_symmetry_space_group_name_H-M 'P 1'
_symmetry_Int_Tables_number 1
_symmetry_space_group_name_Hall 'P 1'
loop_
_atom_site_label
_atom_site_type_symbol
_atom_site_fract_x
_atom_site_fract_y
_atom_site_fract_z
_atom_site_occupancy
Sn1 Sn 0.500 0.500 0.500 1
Sr1 Sr 0.000 0.000 0.500 1
S1 S 0.000 0.000 0.000 1
Co1 Co 0.000 0.500 0.000 1
Sr2 Sr 0.500 0.000 0.000 1
```

## Properties
Space-group type: No. 123
Calculated volume in A^3/atom: 28.56

---

b:
Below is an optimized crystal structure of Sr2CoSnS, with properties calculated at the GGA-PBE level.

```
data_Sr2CoSnS
_cell_length_a 5.597
_cell_length_b 5.329
_cell_length_c 5.597
_cell_angle_alpha 90.00
_cell_angle_beta 90.00
_cell_angle_gamma 90.00
_symmetry_space_group_name_H-M 'P 1'
_symmetry_Int_Tables_number 1
_symmetry_space_group_name_Hall 'P 1'
loop_
_atom_site_label
_atom_site_type_symbol
_atom_site_fract_x
_atom_site_fract_y
_atom_site_fract_z
_atom_site_occupancy
Sn1 Sn 0.000 0.500 0.000 1
S1 S 0.000 0.000 0.000 1
Sr1 Sr 0.000 0.000 0.500 1
Sr2 Sr 0.500 0.000 0.000 1
Co1 Co 0.500 0.500 0.500 1
```

## Properties
Space-group type: No. 123
Calculated volume in A^3/atom: 33.39

---

Short version: b is the least stable of them.

---

a:
Below is an optimized crystal structure of SrCo3S, with properties calculated at the GGA-PBE level.

```
data_SrCo3S
_cell_length_a 4.318
_cell_length_b 4.318
_cell_length_c 4.318
_cell_angle_alpha 90.00
_cell_angle_beta 90.00
_cell_angle_gamma 90.00
_symmetry_space_group_name_H-M 'P 1'
_symmetry_Int_Tables_number 1
_symmetry_space_group_name_Hall 'P 1'
loop_
_atom_site_label
_atom_site_type_symbol
_atom_site_fract_x
_atom_site_fract_y
_atom_site_fract_z
_atom_site_occupancy
Co1 Co 0.000 0.000 0.500 1
Co2 Co 0.000 0.500 0.000 1
S1 S 0.000 0.000 0.000 1
Co3 Co 0.500 0.000 0.000 1
Sr1 Sr 0.500 0.500 0.500 1
```

## Properties
Space-group type: No. 221
Calculated volume in A^3/atom: 16.10

---

b:
Below is an optimized crystal structure of SrCo3S, with properties calculated at the GGA-PBE level.

```
data_SrCo3S
_cell_length_a 4.779
_cell_length_b 4.779
_cell_length_c 4.779
_cell_angle_alpha 90.00
_cell_angle_beta 90.00
_cell_angle_gamma 90.00
_symmetry_space_group_name_H-M 'P 1'
_symmetry_Int_Tables_number 1
_symmetry_space_group_name_Hall 'P 1'
loop_
_atom_site_label
_atom_site_type_symbol
_atom_site_fract_x
_atom_site_fract_y
_atom_site_fract_z
_atom_site_occupancy
Co1 Co 0.000 0.500 0.000 1
Co2 Co 0.000 0.000 0.500 1
Sr1 Sr 0.000 0.000 0.000 1
Co3 Co 0.500 0.000 0.000 1
S1 S 0.500 0.500 0.500 1
```

## Properties
Space-group type: No. 221
Calculated volume in A^3/atom: 21.83

---

Short version: b is the least stable of them.